This record from Alexandria via LeMat-Bulk describes a relaxed WO crystal. The functional is GGA+U.

a b c (Å): 6.0971 6.0971 3.6181
angles (deg): 90.00 90.00 90.00
With the nearest neighbours (Å) after each atom.
Element x y z (fractional)
W 0.8490 0.8490 0.0000  2 O 2.07
W 0.3490 0.6510 0.5000  2 O 2.07
W 0.6510 0.3490 0.5000  2 O 2.07
O 0.7678 0.2322 0.0000  2 W 2.07
O 0.7322 0.7322 0.5000  2 W 2.07
W 0.1510 0.1510 0.0000  2 O 2.07
O 0.2678 0.2678 0.5000  2 W 2.07
O 0.2322 0.7678 0.0000  2 W 2.07

Properties
For the total energy, the calculation gives -6.07 eV/atom. The total moment comes out at 2.17 μB/f.u. As for the space group: P4_2/mnm, No. 136. The volume is 135 Å³/cell.